[1]
Entry from Alexandria: a relaxed structure of TiTc3Mo3 (GGA-PBE).

abc: 6.2763 6.2762 6.2763
angles: 102.53 102.53 102.53
Closest atoms and distances in Å follow each position.
Fractional positions:
Tc 0.0152 0.6826 0.8046  4 Mo 2.52-2.73, 2 Ti 2.61-2.64
Tc 0.1826 0.5152 0.3045  4 Mo 2.52-2.73, 2 Ti 2.61-2.64
Tc 0.3046 0.1826 0.5152  4 Mo 2.52-2.73, 2 Ti 2.61-2.64
Tc 0.5152 0.3045 0.1826  4 Mo 2.52-2.73, 2 Ti 2.61-2.64
Tc 0.8045 0.0152 0.6826  4 Mo 2.52-2.73, 2 Ti 2.61-2.64
Tc 0.6826 0.8046 0.0152  4 Mo 2.52-2.73, 2 Ti 2.61-2.64
Mo 0.7946 0.3775 0.9547  4 Tc 2.52-2.73
Mo 0.4547 0.8775 0.2946  4 Tc 2.52-2.73
Mo 0.8775 0.2946 0.4547  4 Tc 2.52-2.73
Mo 0.3775 0.9547 0.7946  4 Tc 2.52-2.73
Mo 0.2946 0.4547 0.8775  4 Tc 2.52-2.73
Mo 0.9547 0.7946 0.3775  4 Tc 2.52-2.73
Ti 0.5870 0.5870 0.5870  6 Tc 2.61-2.64
Ti 0.0870 0.0870 0.0870  6 Tc 2.61-2.64

Output
N(E_F) = 14.50 states/eV/cell
Total energy = -9.922 eV per atom
Crystal system = trigonal

=====

[2]
Entry from Alexandria: a relaxed structure of TiTcMo2 (GGA-PBE).

abc: 3.1323 4.3802 5.2423
angles: 114.58 107.38 90.00
Closest atoms and distances in Å follow each position.
Fractional positions:
Tc 0.5000 0.0000 0.0000  4 Ti 2.69, 4 Mo 2.71
Ti 0.0000 0.5000 0.0000  4 Tc 2.69, 4 Mo 2.77
Mo 0.7541 0.7541 0.5081  4 Mo 2.69, 2 Tc 2.71, 2 Ti 2.77
Mo 0.2459 0.2459 0.4919  4 Mo 2.69, 2 Tc 2.71, 2 Ti 2.77

Output
N(E_F) = 2.16 states/eV/cell
Total energy = -10.236 eV per atom
Crystal system = monoclinic

=====

[3]
Entry from Alexandria: a relaxed structure of Ti2TcMo2 (GGA-PBE).

abc: 4.3150 5.6256 6.9714
angles: 103.78 108.03 90.00
Closest atoms and distances in Å follow each position.
Fractional positions:
Tc 0.0000 0.7500 0.0000  4 Ti 2.63, 2 Mo 2.76, 2 Tc 2.81
Tc 0.0000 0.2500 0.0000  4 Ti 2.63, 2 Mo 2.76, 2 Tc 2.81
Mo 0.7986 0.4571 0.5973  4 Mo 2.62-2.81, 3 Ti 2.72-2.78, 1 Tc 2.76
Mo 0.2014 0.5429 0.4027  4 Mo 2.62-2.81, 3 Ti 2.72-2.78, 1 Tc 2.76
Mo 0.2014 0.0429 0.4027  4 Mo 2.62-2.81, 3 Ti 2.72-2.78, 1 Tc 2.76
Mo 0.7986 0.9571 0.5973  4 Mo 2.62-2.81, 3 Ti 2.72-2.78, 1 Tc 2.76
Ti 0.5972 0.1566 0.1944  2 Tc 2.63, 3 Mo 2.72-2.78, 3 Ti 2.73-2.81
Ti 0.5972 0.6566 0.1944  2 Tc 2.63, 3 Mo 2.72-2.78, 3 Ti 2.73-2.81
Ti 0.4028 0.3434 0.8056  2 Tc 2.63, 3 Mo 2.72-2.78, 3 Ti 2.73-2.81
Ti 0.4028 0.8434 0.8056  2 Tc 2.63, 3 Mo 2.72-2.78, 3 Ti 2.73-2.81

Output
N(E_F) = 8.46 states/eV/cell
Total energy = -9.801 eV per atom
Crystal system = monoclinic

=====

> What is the total energy in the second record?

-10.236 eV per atom